No. 1
DFT (PBE) results for a relaxed Dy2ErGa3AgPd2 crystal.

Lattice parameters (Å, degrees): 3.697 13.026 7.535 90.00 90.00 90.00
Space group Amm2 (No. 38)
One atom of each set of equivalent atoms:
Dy  0.000  0.204  0.000 [4 per cell]
Er  0.000  0.000  0.611 [2 per cell]
Ga  0.500  0.000  0.933 [2 per cell]
Ga  0.500  0.135  0.340 [4 per cell]
Ag  0.000  0.000  0.205 [2 per cell]
Pd  0.500  0.166  0.703 [4 per cell]

Values from the calculation:
Final energy (eV/atom): -4.754

---

No. 2
DFT (PBE) results for a relaxed NdSi2NiAg crystal.

Lattice parameters (Å, degrees): 4.162 4.162 10.124 90.00 90.00 90.00
Space group I-4m2 (No. 119)
One atom of each set of equivalent atoms:
Nd  0.000  0.000  0.000 [2 per cell]
Si  0.000  0.000  0.383 [4 per cell]
Ni  0.000  0.500  0.250 [2 per cell]
Ag  0.000  0.500  0.750 [2 per cell]

Values from the calculation:
Final energy (eV/atom): -5.355

---

Q: Which value of final energy does entry 1 give?
A: -4.754 eV/atom

---

Copy entry 2 word for word.
DFT (PBE) results for a relaxed NdSi2NiAg crystal.

Lattice parameters (Å, degrees): 4.162 4.162 10.124 90.00 90.00 90.00
Space group I-4m2 (No. 119)
One atom of each set of equivalent atoms:
Nd  0.000  0.000  0.000 [2 per cell]
Si  0.000  0.000  0.383 [4 per cell]
Ni  0.000  0.500  0.250 [2 per cell]
Ag  0.000  0.500  0.750 [2 per cell]

Values from the calculation:
Final energy (eV/atom): -5.355

---

Q: Which value of final energy does entry 1 give?
A: -4.754 eV/atom

---

Q: The lowest final energy belongs to which entry?
A: NdSi2NiAg